Density functional theory data (PBE) for crystalline Ga3SiP4 at its relaxed geometry.

The space group is I-42m (No. 121) and the conventional cell measures 5.616, 5.616 and 10.286 Å, with angles of 90.00, 90.00 and 90.00 degrees. The inequivalent atoms are Ga at (0.000, 0.000, 0.000), Ga at (0.000, 0.500, 0.250), Si at (0.000, 0.000, 0.500) and P at (0.240, 0.240, 0.379).

***

Density functional theory data (PBE) for crystalline Ga2SiP at its relaxed geometry.

The calculation puts the energy above the most stable polymorph in this dataset at 1.94 eV/f.u.

The space group is R-3m (No. 166, hexagonal axes) and the conventional cell measures 3.6878, 3.6878 and 21.9685 Å, with angles of 90.00, 90.00 and 120.00 degrees. The inequivalent atoms are Ga at (0.0000, 0.0000, 0.1052), Si at (0.0000, 0.0000, 0.5000) and P at (0.0000, 0.0000, 0.0000).

***

Density functional theory data (PBE) for crystalline GaSiP2 at its relaxed geometry.

The calculation puts the energy above the most stable polymorph in this dataset at 2.38 eV/f.u.

The space group is Fm-3m (No. 225) and the conventional cell measures 6.278, 6.278 and 6.278 Å, with angles of 90.00, 90.00 and 90.00 degrees. The inequivalent atoms are Ga at (0.000, 0.000, 0.000), Si at (0.000, 0.000, 0.500) and P at (0.250, 0.250, 0.250).

***

Density functional theory data (PBE) for crystalline GaSiP2 at its relaxed geometry.

The calculation puts the energy above the most stable polymorph in this dataset at 0.16 eV/f.u.

The space group is I-42d (No. 122) and the conventional cell measures 5.807, 5.807 and 9.239 Å, with angles of 90.00, 90.00 and 90.00 degrees. The inequivalent atoms are Ga at (0.000, 0.000, 0.000), Si at (0.000, 0.000, 0.500) and P at (0.228, 0.250, 0.625).

***

Density functional theory data (PBE) for crystalline Ga2SiP at its relaxed geometry.

The calculation puts the energy above the most stable polymorph in this dataset at 1.56 eV/f.u.

The space group is Fm-3m (No. 225) and the conventional cell measures 6.450, 6.450 and 6.450 Å, with angles of 90.00, 90.00 and 90.00 degrees. The inequivalent atoms are Ga at (0.250, 0.250, 0.250), Si at (0.000, 0.000, 0.000) and P at (0.000, 0.000, 0.500).

***

Density functional theory data (PBE) for crystalline GaSi2P at its relaxed geometry.

The calculation puts the energy above the most stable polymorph in this dataset at 0.00 eV/f.u.

The space group is I-42d (No. 122) and the conventional cell measures 5.493, 5.493 and 10.843 Å, with angles of 90.00, 90.00 and 90.00 degrees. The inequivalent atoms are Ga at (0.000, 0.000, 0.000), Si at (0.236, 0.250, 0.625) and P at (0.000, 0.000, 0.500).

***

Density functional theory data (PBE) for crystalline GaSiP3 at its relaxed geometry.

The space group is Pm-3m (No. 221) and the conventional cell measures 4.559, 4.559 and 4.559 Å, with angles of 90.00, 90.00 and 90.00 degrees. The inequivalent atoms are Ga at (0.000, 0.000, 0.000), Si at (0.500, 0.500, 0.500) and P at (0.000, 0.500, 0.500).

***

Density functional theory data (PBE) for crystalline GaSi2P at its relaxed geometry.

The calculation puts the energy above the most stable polymorph in this dataset at 2.19 eV/f.u.

The space group is Fm-3m (No. 225) and the conventional cell measures 6.278, 6.278 and 6.278 Å, with angles of 90.00, 90.00 and 90.00 degrees. The inequivalent atoms are Ga at (0.000, 0.000, 0.000), Si at (0.250, 0.250, 0.250) and P at (0.000, 0.000, 0.500).

***

The records above give, respectively, raw formation energy values of -180 182 184 -31 145 -12 320 199 kJ/mol of formula units.